(1)
Material: Sc5Al
Method: DFT, SCAN
State: single point on PBEsol structure

## Properties
- Polymorph energy (0 for the lowest one): 0.00 eV/f.u.
- Calculated total energy: -13.285 eV per atom
- Formation enthalpy at 0 K: -0.129 eV/atom
- Symmetry: Cm

a b c (Å): 5.963 5.963 7.415
angles (deg): 103.97 103.97 31.11
Sites, in units of the cell vectors:
Sc 0.000 0.000 0.000
Sc 0.038 0.038 0.617
Sc 0.390 0.390 0.279
Sc 0.671 0.671 0.353
Sc 0.724 0.724 0.932
Al 0.327 0.327 0.667


(2)
Material: NiIr2Os
Method: DFT, SCAN
State: single point on PBEsol structure

## Properties
- Polymorph energy (0 for the lowest one): 0.17 eV/f.u.
- Calculated total energy: -57.529 eV per atom
- Formation enthalpy at 0 K: 0.034 eV/atom
- Symmetry: I4/mmm

a b c (Å): 4.617 4.617 4.617
angles (deg): 132.26 132.26 69.81
Sites, in units of the cell vectors:
Ni 0.000 0.000 0.000
Ir 0.250 0.750 0.500
Ir 0.750 0.250 0.500
Os 0.500 0.500 0.000


(3)
Material: ZrSc2MnCo
Method: DFT, SCAN
State: single point on PBEsol structure

## Properties
- Calculated total energy: -18.427 eV per atom
- Formation enthalpy at 0 K: 0.520 eV/atom
- Symmetry: P4/mmm

a b c (Å): 4.588 4.588 4.309
angles (deg): 90.00 90.00 90.00
Sites, in units of the cell vectors:
Zr 0.000 0.000 0.000
Sc 0.000 0.500 0.500
Sc 0.500 0.000 0.500
Mn 0.500 0.500 0.500
Co 0.500 0.500 0.000


(4)
Material: YH2Ru
Method: DFT, SCAN
State: single point on PBEsol structure

## Properties
- Calculated total energy: -17.753 eV per atom
- Symmetry: I-42d

a b c (Å): 5.954 5.954 5.954
angles (deg): 138.67 138.67 59.88
Sites, in units of the cell vectors:
Y 0.000 0.000 0.000
Y 0.750 0.250 0.500
H 0.238 0.625 0.113
H 0.375 0.488 0.613
H 0.512 0.125 0.887
H 0.875 0.762 0.387
Ru 0.250 0.750 0.500
Ru 0.500 0.500 0.000


Calculated M_tot, 1.05, 0.00, 0.01, 0.00 μB per formula unit (same order as the records).
Calculated mass density, 3.17, 19.89, 5.40, 7.00 g/cm3 (same order as the records).